Entry 1:
{
  "formula": "ScRe2",
  "functional": "PBE",
  "state": "optimized geometry",
  "lattice_angstrom": [[3.916, -2.053, -2.664], [-2.220, -2.623, 3.852], [-3.761, 0.545, -3.493]],
  "species": ["Sc", "Sc", "Re", "Re", "Re", "Re"],
  "fractional_positions": [[0.250, 0.250, 0.000], [0.750, 0.750, 0.000], [0.136, 0.636, 0.772], [0.364, 0.136, 0.500], [0.636, 0.864, 0.500], [0.864, 0.364, 0.228]],
  "delta_e_f_ev_per_fu": 2.59,
  "spacegroup": "I4/mcm (140)"
}

Entry 2:
{
  "formula": "CsIn2Hg5",
  "functional": "PBE",
  "state": "optimized geometry",
  "lattice_angstrom": [[-5.680, 5.369, -6.613], [0.194, -4.115, -4.995], [-3.522, -4.065, 8.394]],
  "species": ["Hg", "Hg", "Hg", "Hg", "Hg", "Hg", "Hg", "Hg", "Hg", "Hg", "In", "In", "In", "In", "Cs", "Cs"],
  "fractional_positions": [[0.490, 0.792, 0.706], [0.471, 0.134, 0.301], [0.170, 0.833, 0.699], [0.784, 0.086, 0.294], [0.520, 0.677, 0.000], [0.990, 0.292, 0.706], [0.284, 0.586, 0.294], [0.670, 0.333, 0.699], [0.971, 0.634, 0.301], [0.020, 0.177, 0.000], [0.204, 0.744, 0.000], [0.704, 0.245, 0.000], [0.382, 0.270, 0.000], [0.882, 0.770, 0.000], [0.229, 0.213, 0.500], [0.729, 0.713, 0.500]],
  "delta_e_f_ev_per_fu": -0.98,
  "spacegroup": "Pm (6)"
}

Entry 3:
{
  "formula": "CaMn2Cu",
  "functional": "PBE",
  "state": "optimized geometry",
  "lattice_angstrom": [[-7.115, -3.499, -4.535], [-6.037, -6.104, -3.118], [-7.980, -4.157, -1.572]],
  "species": ["Mn", "Mn", "Ca", "Cu"],
  "fractional_positions": [[0.484, 0.484, 0.484], [0.016, 0.016, 0.016], [0.250, 0.250, 0.250], [0.750, 0.750, 0.750]],
  "delta_e_f_ev_per_fu": 2.62,
  "spacegroup": "R-3m (166)"
}

Question: Number 1 is which compound?
Answer: ScRe2

Copy entry 3 word for word.
{
  "formula": "CaMn2Cu",
  "functional": "PBE",
  "state": "optimized geometry",
  "lattice_angstrom": [[-7.115, -3.499, -4.535], [-6.037, -6.104, -3.118], [-7.980, -4.157, -1.572]],
  "species": ["Mn", "Mn", "Ca", "Cu"],
  "fractional_positions": [[0.484, 0.484, 0.484], [0.016, 0.016, 0.016], [0.250, 0.250, 0.250], [0.750, 0.750, 0.750]],
  "delta_e_f_ev_per_fu": 2.62,
  "spacegroup": "R-3m (166)"
}